Density functional theory data (PBE) for a relaxed Ni2OsAu crystal.

Summary:
Energy relative to the lowest polymorph listed for this composition   646 meV per atom
Total DFT energy (no corrections)   -0.211 hartree per atom
Magnetization   6.67 μB per cell
ΔH_f (0 K)   779.5 meV/atom

abc: 6.7055 6.7055 5.3487
angles: 90.00 90.00 90.00
With the nearest neighbours (Å) after each atom.
Space group I-42d (No. 122)
Asymmetric unit:
1 Ni 0.2283 0.7500 0.1250 x8  2 Os 2.37, 2 Au 2.56
2 Os 0.0000 0.0000 0.0000 x4  4 Ni 2.37
3 Au 0.0000 0.0000 0.5000 x4  4 Ni 2.56, 2 Os 2.67

Density functional theory data (PBE) for a relaxed Cr2InFeCu crystal.

Summary:
Total DFT energy (no corrections)   -0.162 hartree per atom
Magnetization   0.50 μB per cell
ΔH_f (0 K)   2493.0 meV/atom

abc: 4.7600 4.7600 4.6116
angles: 90.00 90.00 90.00
With the nearest neighbours (Å) after each atom.
Space group P4/mmm (No. 123)
Asymmetric unit:
1 Cr 0.0000 0.5000 0.0000 x2  2 In 2.38
2 In 0.0000 0.0000 0.0000 x1  2 Fe 2.31, 4 Cr 2.38
3 Fe 0.0000 0.0000 0.5000 x1  2 In 2.31
4 Cu 0.5000 0.5000 0.5000 x1  8 Cr 3.31, 4 Fe 3.37

Density functional theory data (PBE) for a relaxed BePdRh3 crystal.

Summary:
Energy relative to the lowest polymorph listed for this composition   1557 meV per atom
Total DFT energy (no corrections)   -0.160 hartree per atom
Magnetization   3.15 μB per cell
ΔH_f (0 K)   1833.9 meV/atom

abc: 4.7213 4.7213 4.7213
angles: 90.00 90.00 90.00
With the nearest neighbours (Å) after each atom.
Space group Pm-3m (No. 221)
Asymmetric unit:
1 Be 0.0000 0.0000 0.0000 x1  12 Rh 3.34
2 Pd 0.5000 0.5000 0.5000 x1  6 Rh 2.36
3 Rh 0.0000 0.5000 0.5000 x3  2 Pd 2.36

Density functional theory data (PBE) for a relaxed CaMnInBr5 crystal.

Summary:
Total DFT energy (no corrections)   -0.147 hartree per atom
Formation energy without anion corrections   -1.21 eV per atom
Magnetization   19.99 μB per cell

abc: 9.5459 12.6555 10.4645
angles: 90.00 113.89 90.00
With the nearest neighbours (Å) after each atom.
Space group C2/c (No. 15)
Asymmetric unit:
1 Ca 0.0000 0.0000 0.0000 x4  6 Br 2.85-2.96
2 Mn 0.0000 0.3179 0.2500 x4  4 Br 2.51
3 In 0.0000 0.3397 0.7500 x4  5 Br 3.18-3.47
4 Br 0.0000 0.0885 0.7500 x4  2 Ca 2.85, 1 In 3.18
5 Br 0.1228 0.2080 0.1237 x8  1 Mn 2.51
6 Br 0.1801 0.4369 0.4362 x8  1 Mn 2.51

Density functional theory data (PBE) for a relaxed EuTl3Rh crystal.

Summary:
Total DFT energy (no corrections)   -0.185 hartree per atom
Magnetization   7.92 μB per cell
ΔH_f (0 K)   -86.3 meV/atom

abc: 5.2832 5.2832 5.2832
angles: 90.00 90.00 90.00
With the nearest neighbours (Å) after each atom.
Space group Pm-3m (No. 221)
Asymmetric unit:
1 Eu 0.0000 0.0000 0.0000 x1  12 Tl 3.74
2 Tl 0.0000 0.5000 0.5000 x3  2 Rh 2.64
3 Rh 0.5000 0.5000 0.5000 x1  6 Tl 2.64

Density functional theory data (PBE) for a relaxed DyHoMg3 crystal.

Summary:
Energy relative to the lowest polymorph listed for this composition   0 meV per atom
Total DFT energy (no corrections)   -0.104 hartree per atom
Magnetization   0.00 μB per cell
ΔH_f (0 K)   -27.6 meV/atom

abc: 5.1650 19.6547 10.4164
angles: 90.00 90.00 90.00
With the nearest neighbours (Å) after each atom.
Space group Imma (No. 74)
Asymmetric unit:
1 Dy 0.0000 0.0511 0.1289 x8  9 Mg 3.23-3.56, 3 Dy 3.36-3.61
2 Ho 0.0000 0.2500 0.1227 x4  8 Mg 3.22-3.44
3 Ho 0.0000 0.2500 0.6226 x4  8 Mg 3.23-3.37
4 Mg 0.0000 0.0561 0.6068 x8  5 Mg 3.07-3.16, 2 Dy 3.34
5 Mg 0.0000 0.1399 0.8657 x8  3 Mg 3.08-3.16, 1 Dy 3.25, 4 Ho 3.33-3.44
6 Mg 0.0000 0.1520 0.3738 x8  1 Mg 3.07, 4 Ho 3.22-3.25, 3 Dy 3.23-3.26

Density functional theory data (PBE) for a relaxed CsCuSn3 crystal.

Summary:
Energy relative to the lowest polymorph listed for this composition   0 meV per atom
Total DFT energy (no corrections)   -0.128 hartree per atom
Magnetization   0.00 μB per cell
ΔH_f (0 K)   -92.8 meV/atom

abc: 7.0414 7.0456 6.8791
angles: 90.00 120.66 90.00
With the nearest neighbours (Å) after each atom.
Space group Cm (No. 8)
Asymmetric unit:
1 Cs 0.0000 0.0000 0.0000 x2  12 Sn 3.72-3.95, 4 Cu 3.89
2 Cu 0.1387 0.5000 0.2782 x2  5 Sn 2.77-2.85
3 Sn 0.3985 0.0000 0.7963 x2  1 Cu 2.85, 4 Sn 3.11
4 Sn 0.4910 0.2506 0.4818 x4  2 Cu 2.77

Density functional theory data (PBE) for a relaxed Sn3Hg5Pb2 crystal.

Summary:
Total DFT energy (no corrections)   -0.074 hartree per atom
Magnetization   0.00 μB per cell
ΔH_f (0 K)   90.3 meV/atom

abc: 4.7492 5.2894 14.1309
angles: 81.23 83.02 63.47
With the nearest neighbours (Å) after each atom.
Space group P-1 (No. 2)
Asymmetric unit:
1 Sn 0.0000 0.0000 0.0000 x1  6 Hg 3.14-3.18
2 Sn 0.2330 0.3236 0.3104 x2  4 Hg 2.90-3.05
3 Hg 0.0000 0.5000 0.5000 x1  2 Sn 2.90
4 Hg 0.0884 0.0321 0.6912 x2  3 Sn 2.91-3.05
5 Hg 0.3018 0.3439 0.0783 x2  4 Sn 3.14-3.25, 3 Pb 3.21-3.32, 2 Hg 3.44-3.47
6 Pb 0.4055 0.3008 0.8235 x2  5 Hg 3.21-3.35, 3 Sn 3.40-3.58

Density functional theory data (PBE) for a relaxed PaNi2S4 crystal.

Summary:
Energy relative to the lowest polymorph listed for this composition   0 meV per atom
Total DFT energy (no corrections)   -0.229 hartree per atom
Formation energy without anion corrections   -0.87 eV per atom
Magnetization   0.84 μB per cell

abc: 6.2752 6.2739 7.4796
angles: 90.00 103.25 90.00
With the nearest neighbours (Å) after each atom.
Space group C2/m (No. 12)
Asymmetric unit:
1 Pa 0.0000 0.0000 0.0000 x2  8 S 2.79
2 Ni 0.0469 0.5000 0.1713 x4  4 S 2.26, 1 Ni 2.49
3 S 0.1864 0.2500 0.7676 x8  2 Ni 2.26

Density functional theory data (PBE) for a relaxed YMg2Fe crystal.

Summary:
Total DFT energy (no corrections)   -0.147 hartree per atom
Magnetization   0.00 μB per cell
ΔH_f (0 K)   528.9 meV/atom

abc: 4.0003 4.0003 21.3568
angles: 90.00 90.00 90.00
With the nearest neighbours (Å) after each atom.
Space group I-42d (No. 122)
Asymmetric unit:
1 Y 0.0000 0.0000 0.0000 x4  4 Fe 2.83, 4 Mg 3.06
2 Mg 0.2246 0.2500 0.6250 x8  4 Mg 2.69-2.98, 2 Fe 2.99
3 Fe 0.0000 0.0000 0.5000 x4  4 Y 2.83, 4 Mg 2.99

Density functional theory data (PBE) for a relaxed SmY2Tl3S6 crystal.

Summary:
Total DFT energy (no corrections)   -0.206 hartree per atom
Formation energy without anion corrections   -1.48 eV per atom
Magnetization   0.00 μB per cell

abc: 7.0445 12.1989 7.8731
angles: 90.00 107.36 90.00
With the nearest neighbours (Å) after each atom.
Space group C2/m (No. 12)
Asymmetric unit:
1 Sm 0.0000 0.0000 0.0000 x2  6 S 2.81-2.82
2 Y 0.0000 0.3334 0.0000 x4  6 S 2.77
3 Tl 0.0000 0.1662 0.5000 x4  6 S 3.23-3.27
4 Tl 0.0000 0.5000 0.5000 x2  6 S 3.24-3.27
5 S 0.2278 0.5000 0.1988 x4  2 Y 2.77, 1 Sm 2.81
6 S 0.2358 0.1693 0.1999 x8  2 Y 2.77, 1 Sm 2.82

Density functional theory data (PBE) for a relaxed HfInCoOs crystal.

Summary:
Total DFT energy (no corrections)   -0.292 hartree per atom
Magnetization   0.00 μB per cell
ΔH_f (0 K)   -202.2 meV/atom

abc: 6.3860 6.3860 6.3860
angles: 90.00 90.00 90.00
With the nearest neighbours (Å) after each atom.
Space group F-43m (No. 216)
Asymmetric unit:
1 Hf 0.0000 0.0000 0.0000 x4  4 Os 2.77, 4 Co 2.77
2 In 0.0000 0.0000 0.5000 x4  4 Co 2.77, 4 Os 2.77
3 Co 0.2500 0.2500 0.2500 x4  4 Hf 2.77, 4 In 2.77
4 Os 0.2500 0.2500 0.7500 x4  4 In 2.77, 4 Hf 2.77

Density functional theory data (PBE) for a relaxed BaYRh2 crystal.

Summary:
Total DFT energy (no corrections)   -0.214 hartree per atom
Magnetization   0.00 μB per cell
ΔH_f (0 K)   -56.6 meV/atom

abc: 3.8283 3.8283 7.0513
angles: 90.00 90.00 90.00
With the nearest neighbours (Å) after each atom.
Space group P4mm (No. 99)
Asymmetric unit:
1 Ba 0.0000 0.0000 0.0000 x1  5 Rh 3.06
2 Y 0.5000 0.5000 0.5630 x1  5 Rh 2.55-2.85
3 Rh 0.0000 0.0000 0.4343 x1  4 Y 2.85, 1 Ba 3.06, 4 Rh 3.17
4 Rh 0.5000 0.5000 0.2015 x1  1 Y 2.55

Density functional theory data (PBE) for a relaxed Sr2Tl5Cl12 crystal.

Summary:
Total DFT energy (no corrections)   -0.121 hartree per atom
Formation energy without anion corrections   -1.32 eV per atom
Magnetization   0.00 μB per cell

abc: 15.6618 9.0186 9.4377
angles: 90.00 106.21 90.00
With the nearest neighbours (Å) after each atom.
Space group C2/m (No. 12)
Asymmetric unit:
1 Sr 0.0000 0.2489 0.0000 x4  6 Cl 2.90-2.96
2 Tl 0.0000 0.5000 0.5000 x2  4 Cl 2.55
3 Tl 0.2052 0.0000 0.4236 x4  6 Cl 3.21-3.25
4 Tl 0.2345 0.0000 0.9568 x4  5 Cl 3.00-3.03
5 Cl 0.0355 0.0000 0.8251 x4  2 Sr 2.93, 1 Tl 3.02
6 Cl 0.0480 0.5000 0.8346 x4  2 Sr 2.96, 1 Tl 3.03
7 Cl 0.1177 0.3020 0.5094 x8  1 Tl 2.55
8 Cl 0.1882 0.2300 0.1529 x8  1 Sr 2.90, 3 Tl 3.00-3.24

Density functional theory data (PBE) for a relaxed LaSi2Br crystal.

Summary:
Energy relative to the lowest polymorph listed for this composition   193 meV per atom
Total DFT energy (no corrections)   -0.181 hartree per atom
Formation energy without anion corrections   -0.56 eV per atom
Magnetization   0.00 μB per cell

abc: 11.8818 3.8577 5.2627
angles: 90.00 90.54 90.00
With the nearest neighbours (Å) after each atom.
Space group C2/m (No. 12)
Asymmetric unit:
1 La 0.0000 0.0000 0.0000 x2  4 Si 3.06, 4 Br 3.26
2 Si 0.2001 0.5000 0.0048 x4  2 Si 2.27
3 Br 0.0000 0.5000 0.5000 x2  4 La 3.26, 4 Si 3.54-3.55

Density functional theory data (PBE) for a relaxed TbScGa crystal.

Summary:
Energy relative to the lowest polymorph listed for this composition   0 meV per atom
Total DFT energy (no corrections)   -0.188 hartree per atom
Magnetization   2.77 μB per cell
ΔH_f (0 K)   -451.7 meV/atom

abc: 7.6608 7.6608 4.2616
angles: 90.00 90.00 120.00
With the nearest neighbours (Å) after each atom.
Space group P-62m (No. 189)
Asymmetric unit:
1 Tb 0.0000 0.4054 0.0000 x3  5 Ga 3.11-3.16, 6 Sc 3.36-3.46
2 Sc 0.0000 0.7441 0.5000 x3  4 Ga 2.90
3 Ga 0.0000 0.0000 0.0000 x1  6 Sc 2.90, 3 Tb 3.11
4 Ga 0.3333 0.6667 0.5000 x2  3 Sc 2.90, 6 Tb 3.16

Density functional theory data (PBE) for a relaxed CaH2Pd crystal.

Summary:
Energy relative to the lowest polymorph listed for this composition   543 meV per atom
Total DFT energy (no corrections)   -0.129 hartree per atom
Magnetization   0.00 μB per cell

abc: 5.8144 5.8144 5.8144
angles: 90.00 90.00 90.00
With the nearest neighbours (Å) after each atom.
Space group Fm-3m (No. 225)
Asymmetric unit:
1 Ca 0.0000 0.0000 0.0000 x4  8 H 2.52
2 H 0.2500 0.2500 0.2500 x8  4 Ca 2.52, 4 Pd 2.52
3 Pd 0.0000 0.0000 0.5000 x4  8 H 2.52

Density functional theory data (PBE) for a relaxed NiSbSe2N crystal.

Summary:
Energy relative to the lowest polymorph listed for this composition   777 meV per atom
Total DFT energy (no corrections)   -0.142 hartree per atom
Formation energy without anion corrections   1.19 eV per atom
Magnetization   2.21 μB per cell

abc: 5.3364 5.3364 3.8812
angles: 90.00 90.00 90.00
With the nearest neighbours (Å) after each atom.
Space group P4/mmm (No. 123)
Asymmetric unit:
1 Ni 0.0000 0.0000 0.0000 x1  8 Se 3.30
2 Sb 0.5000 0.5000 0.5000 x1  2 N 1.94
3 Se 0.0000 0.5000 0.5000 x2  2 Sb 2.67
4 N 0.5000 0.5000 0.0000 x1  2 Sb 1.94

Density functional theory data (PBE) for a relaxed BiTePd2 crystal.

Summary:
Energy relative to the lowest polymorph listed for this composition   137 meV per atom
Total DFT energy (no corrections)   -0.168 hartree per atom
Formation energy without anion corrections   -0.22 eV per atom
Magnetization   0.00 μB per cell

abc: 3.4863 3.4863 6.9248
angles: 90.00 90.00 90.00
With the nearest neighbours (Å) after each atom.
Space group P4/mmm (No. 123)
Asymmetric unit:
1 Bi 0.0000 0.0000 0.0000 x1  8 Pd 3.10, 2 Te 3.46
2 Te 0.0000 0.0000 0.5000 x1  8 Pd 2.93
3 Pd 0.5000 0.5000 0.2724 x2  4 Te 2.93, 4 Bi 3.10, 1 Pd 3.15

Density functional theory data (PBE) for a relaxed CuHgSBr crystal.

Summary:
Energy relative to the lowest polymorph listed for this composition   0 meV per atom
Total DFT energy (no corrections)   -0.104 hartree per atom
Formation energy without anion corrections   -0.28 eV per atom
Magnetization   0.00 μB per cell

abc: 10.2710 18.7926 4.0932
angles: 90.00 90.00 90.00
With the nearest neighbours (Å) after each atom.
Space group Pbam (No. 55)
Asymmetric unit:
1 Cu 0.0528 0.0701 0.0000 x4  2 S 2.26, 1 Br 2.43
2 Cu 0.0858 0.6257 0.0000 x4  2 S 2.28, 1 Br 2.51
3 Hg 0.0288 0.2312 0.5000 x4  2 S 2.46
4 Hg 0.2413 0.3906 0.5000 x4  2 S 2.44-2.47
5 S 0.0093 0.3616 0.5000 x4  2 Cu 2.28, 2 Hg 2.44-2.46
6 S 0.0189 0.8972 0.5000 x4  2 Cu 2.26, 2 Hg 2.46-2.47
7 Br 0.2302 0.5179 0.0000 x4  2 Cu 2.43-2.51
8 Br 0.2462 0.7306 0.0000 x4  1 Cu 2.57